# 1
! PBE-GGA Mg2Ag4Hg, relaxed; values from VASP
! total DFT energy (no corrections): -2.127 eV per atom
! formation enthalpy at 0 K: 0.0010 eV per atom
&SYSTEM
  ibrav = 0, nat = 7, ntyp = 3
/
ATOMIC_SPECIES
Mg 24.30 Mg.upf
Ag 107.87 Ag.upf
Hg 200.59 Hg.upf
ATOMIC_POSITIONS angstrom
Mg 3.476 0.001 1.470
Mg -0.002 3.476 1.473
Ag -1.420 1.418 2.944
Ag 2.056 2.058 0.000
Ag 4.890 4.897 0.000
Ag 4.894 2.059 -0.001
Hg 3.474 3.477 2.942
CELL_PARAMETERS angstrom
6.952 0.003 -0.003
-0.006 6.952 0.003
-3.472 -3.479 2.943


# 2
! PBE-GGA MgAg3Hg, relaxed; values from VASP
! total DFT energy (no corrections): -1.546 eV per atom
! formation enthalpy at 0 K: 0.5443 eV per atom
&SYSTEM
  ibrav = 0, nat = 5, ntyp = 3
/
ATOMIC_SPECIES
Hg 200.59 Hg.upf
Ag 107.87 Ag.upf
Mg 24.30 Mg.upf
ATOMIC_POSITIONS angstrom
Hg -0.244 1.131 4.211
Ag 1.138 -1.206 1.899
Ag 0.742 2.211 0.959
Ag -2.124 0.126 1.353
Mg 0.000 0.000 0.000
CELL_PARAMETERS angstrom
-4.248 0.252 2.705
2.276 -2.412 3.799
1.484 4.421 1.918


# 3
! PBE-GGA MgAg2Hg, relaxed; values from VASP
! total DFT energy (no corrections): -2.006 eV per atom
! formation enthalpy at 0 K: -0.1058 eV per atom
&SYSTEM
  ibrav = 0, nat = 4, ntyp = 3
/
ATOMIC_SPECIES
Hg 200.59 Hg.upf
Mg 24.30 Mg.upf
Ag 107.87 Ag.upf
ATOMIC_POSITIONS angstrom
Hg -0.305 -4.250 1.569
Mg -1.300 -6.938 0.776
Ag -2.477 -5.660 3.123
Ag -0.906 -2.635 -0.854
CELL_PARAMETERS angstrom
-1.605 -1.070 -3.212
1.879 -2.844 0.009
-2.481 -5.659 3.125


# 4
! PBE-GGA Mg4Ag2Hg5, relaxed; values from VASP
! total DFT energy (no corrections): -1.376 eV per atom
! formation enthalpy at 0 K: -0.1402 eV per atom
&SYSTEM
  ibrav = 0, nat = 11, ntyp = 3
/
ATOMIC_SPECIES
Ag 107.87 Ag.upf
Mg 24.30 Mg.upf
Hg 200.59 Hg.upf
ATOMIC_POSITIONS angstrom
Ag -6.208 3.509 3.433
Ag -4.325 -2.376 -0.690
Mg -5.396 3.108 0.608
Mg -8.796 2.745 2.498
Mg -1.737 -1.613 0.244
Mg -5.137 -1.975 2.135
Hg -6.552 0.752 2.250
Hg -3.981 0.380 0.493
Hg -6.778 -3.668 0.150
Hg -3.755 4.801 2.593
Hg -0.797 0.661 -1.307
CELL_PARAMETERS angstrom
-1.595 1.321 -2.614
-4.578 -6.450 -0.467
-4.360 6.261 5.824


# 5
! PBE-GGA Mg3Ag5Hg2, relaxed; values from VASP
! total DFT energy (no corrections): -1.957 eV per atom
! formation enthalpy at 0 K: 0.0072 eV per atom
&SYSTEM
  ibrav = 0, nat = 20, ntyp = 3
/
ATOMIC_SPECIES
Hg 200.59 Hg.upf
Ag 107.87 Ag.upf
Mg 24.30 Mg.upf
ATOMIC_POSITIONS angstrom
Hg -4.761 -0.734 -3.906
Hg -7.776 1.123 -5.375
Hg -7.747 8.130 -1.902
Hg -4.731 6.273 -0.433
Ag -9.175 4.526 -3.423
Ag -3.332 2.870 -2.385
Ag -4.070 5.059 2.283
Ag -2.903 0.829 -0.522
Ag -6.468 4.719 -3.835
Ag -5.109 0.502 -6.670
Ag -7.398 6.894 0.862
Ag -9.605 6.567 -5.286
Ag -8.437 2.337 -8.091
Ag -6.039 2.677 -1.972
Mg -0.215 1.021 -0.931
Mg -4.355 3.185 0.295
Mg -5.050 2.360 -4.647
Mg -7.458 5.036 -1.160
Mg -8.152 4.211 -6.103
Mg -0.644 3.062 -2.794
CELL_PARAMETERS angstrom
-0.859 4.083 -3.726
-6.261 -3.076 -6.127
-5.387 6.390 4.045


# 6
! PBE-GGA Mg2AgHg5, relaxed; values from VASP
! total DFT energy (no corrections): -0.960 eV per atom
! formation enthalpy at 0 K: -0.0158 eV per atom
&SYSTEM
  ibrav = 0, nat = 16, ntyp = 3
/
ATOMIC_SPECIES
Ag 107.87 Ag.upf
Hg 200.59 Hg.upf
Mg 24.30 Mg.upf
ATOMIC_POSITIONS angstrom
Ag 0.000 5.643 2.933
Ag 2.598 0.637 8.798
Hg 0.000 4.556 0.203
Hg 0.000 1.537 4.406
Hg 2.598 4.744 10.271
Hg 2.598 4.744 7.324
Hg 2.598 1.725 6.068
Hg 2.598 2.467 2.933
Hg 0.000 1.537 1.459
Hg 0.000 4.556 5.662
Hg 2.598 1.725 11.527
Hg 0.000 3.813 8.798
Mg 0.000 1.362 10.309
Mg 0.000 1.362 7.286
Mg 2.598 4.918 4.444
Mg 2.598 4.918 1.421
CELL_PARAMETERS angstrom
5.197 0.000 0.000
-2.598 6.281 0.000
0.000 0.000 11.730